Record 1
## TbNbN2O (GGA-PBE)

Data for TbNbN2O after structural relaxation.

## Properties
Symmetry: Pmc2_1, No. 26
Total energy (eV/atom): -9.001
Crystal system: orthorhombic
V (Å³ per atom): 12.623

abc: 7.8260 5.6674 5.6922
angles: 90.00 90.00 90.00
Closest atoms and distances in Å follow each position.
Element x y z (fractional)
Tb: 0.0000 0.2241 0.0000  1 O 2.30, 4 N 2.33-2.46
Tb: 0.0000 0.7759 0.5000  1 O 2.30, 4 N 2.33-2.46
Tb: 0.5000 0.2759 0.0043  1 O 2.30, 4 N 2.33-2.46
Tb: 0.5000 0.7241 0.5043  1 O 2.30, 4 N 2.33-2.46
Nb: 0.2499 0.2501 0.4936  3 N 1.96-2.19, 2 O 2.08-2.09
Nb: 0.2499 0.7499 0.9936  3 N 1.96-2.19, 2 O 2.08-2.09
Nb: 0.7501 0.2501 0.4936  3 N 1.96-2.19, 2 O 2.08-2.09
Nb: 0.7501 0.7499 0.9936  3 N 1.96-2.19, 2 O 2.08-2.09
N: 0.1847 0.0023 0.2712  2 Nb 1.96-2.19
N: 0.1847 0.9977 0.7712  2 Nb 1.96-2.19
N: 0.3152 0.4994 0.7742  2 Nb 1.96-2.19
N: 0.3152 0.5006 0.2742  2 Nb 1.96-2.19
N: 0.6848 0.4994 0.7742  2 Nb 1.96-2.19
N: 0.6848 0.5006 0.2742  2 Nb 1.96-2.19
N: 0.8153 0.0023 0.2712  2 Nb 1.96-2.19
N: 0.8153 0.9977 0.7712  2 Nb 1.96-2.19
O: 0.0000 0.3717 0.5319  2 Nb 2.09, 1 Tb 2.30
O: 0.0000 0.6283 0.0319  2 Nb 2.09, 1 Tb 2.30
O: 0.5000 0.1284 0.5287  2 Nb 2.08, 1 Tb 2.30
O: 0.5000 0.8716 0.0287  2 Nb 2.08, 1 Tb 2.30

***

Record 2
## TbNbN2O (GGA-PBE)

Data for TbNbN2O after structural relaxation.

## Properties
Symmetry: Ima2, No. 46
Total energy (eV/atom): -9.001
Crystal system: orthorhombic
V (Å³ per atom): 12.641

abc: 5.6097 5.6097 5.6097
angles: 91.51 119.27 119.00
Closest atoms and distances in Å follow each position.
Element x y z (fractional)
Tb: 0.0258 0.2500 0.2758  1 O 2.30, 4 N 2.33-2.46
Tb: 0.9742 0.7500 0.7242  1 O 2.30, 4 N 2.33-2.46
Nb: 0.4907 0.4907 0.0000  4 N 1.96-2.19, 2 O 2.08
Nb: 0.4907 0.9907 0.5000  4 N 1.96-2.19, 2 O 2.08
N: 0.0202 0.2050 0.6852  2 Nb 1.96-2.19
N: 0.0202 0.8351 0.3153  2 Nb 1.96-2.19
N: 0.5198 0.3351 0.3148  2 Nb 1.96-2.19
N: 0.5198 0.7050 0.6847  2 Nb 1.96-2.19
O: 0.4048 0.7758 0.1291  2 Nb 2.08, 1 Tb 2.30
O: 0.6467 0.2758 0.8709  2 Nb 2.08, 1 Tb 2.30

***

Record 3
## TbNbN2O (GGA-PBE)

Data for TbNbN2O after structural relaxation.

## Properties
Symmetry: C2/m, No. 12
Total energy (eV/atom): -8.961
Crystal system: monoclinic
V (Å³ per atom): 12.462

abc: 5.5360 5.5360 5.6189
angles: 119.12 119.12 90.33
Closest atoms and distances in Å follow each position.
Element x y z (fractional)
Tb: 0.2321 0.2321 0.4975  3 N 2.33-2.43, 2 O 2.42
Tb: 0.7679 0.7679 0.5025  3 N 2.33-2.43, 2 O 2.42
Nb: 0.0000 0.5000 0.0000  2 O 2.05, 4 N 2.06-2.07
Nb: 0.5000 0.0000 0.0000  2 O 2.05, 4 N 2.06-2.07
N: 0.2058 0.7942 0.5000  2 Nb 2.06
N: 0.3583 0.3583 0.0656  2 Nb 2.07
N: 0.6417 0.6417 0.9344  2 Nb 2.07
N: 0.7942 0.2058 0.5000  2 Nb 2.06
O: 0.1688 0.8312 0.0000  2 Nb 2.05
O: 0.8312 0.1688 0.0000  2 Nb 2.05

***

Record 4
## TbNbN2O (GGA-PBE)

Data for TbNbN2O after structural relaxation.

## Properties
Symmetry: P6_3cm, No. 185
Total energy (eV/atom): -8.629
Crystal system: hexagonal
V (Å³ per atom): 13.856

abc: 6.2579 6.2579 12.2569
angles: 90.00 90.00 120.00
Closest atoms and distances in Å follow each position.
Element x y z (fractional)
Tb: 0.0000 0.0000 0.0000  6 N 2.37-2.42, 1 O 2.50
Tb: 0.0000 0.0000 0.5000  6 N 2.37-2.42, 1 O 2.50
Tb: 0.3333 0.6667 0.4599  6 N 2.36-2.41
Tb: 0.3333 0.6667 0.9599  6 N 2.36-2.41
Tb: 0.6667 0.3333 0.4599  6 N 2.36-2.41
Tb: 0.6667 0.3333 0.9599  6 N 2.36-2.41
Nb: 0.0000 0.3335 0.2265  2 N 1.94-1.97, 3 O 2.10-2.11
Nb: 0.0000 0.6665 0.7265  2 N 1.94-1.97, 3 O 2.10-2.11
Nb: 0.3335 0.0000 0.2265  2 N 1.94-1.97, 3 O 2.10-2.11
Nb: 0.3335 0.3335 0.7265  2 N 1.94-1.97, 3 O 2.10-2.11
Nb: 0.6665 0.0000 0.7265  2 N 1.94-1.97, 3 O 2.10-2.11
Nb: 0.6665 0.6665 0.2265  2 N 1.94-1.97, 3 O 2.10-2.11
N: 0.0000 0.3061 0.3862  1 Nb 1.97
N: 0.0000 0.3619 0.0690  1 Nb 1.94
N: 0.0000 0.6381 0.5690  1 Nb 1.94
N: 0.0000 0.6939 0.8862  1 Nb 1.97
N: 0.3061 0.0000 0.3862  1 Nb 1.97
N: 0.3061 0.3061 0.8862  1 Nb 1.97
N: 0.3619 0.0000 0.0690  1 Nb 1.94
N: 0.3619 0.3619 0.5690  1 Nb 1.94
N: 0.6381 0.0000 0.5690  1 Nb 1.94
N: 0.6381 0.6381 0.0690  1 Nb 1.94
N: 0.6939 0.0000 0.8862  1 Nb 1.97
N: 0.6939 0.6939 0.3862  1 Nb 1.97
O: 0.0000 0.0000 0.2038  3 Nb 2.11
O: 0.0000 0.0000 0.7038  3 Nb 2.11
O: 0.3333 0.6667 0.2437  3 Nb 2.10
O: 0.3333 0.6667 0.7437  3 Nb 2.10
O: 0.6667 0.3333 0.2437  3 Nb 2.10
O: 0.6667 0.3333 0.7437  3 Nb 2.10

***

Record 5
## TbNbN2O (GGA-PBE)

Data for TbNbN2O after structural relaxation.

## Properties
Symmetry: Pmc2_1, No. 26
Total energy (eV/atom): -9.051
Crystal system: orthorhombic
V (Å³ per atom): 12.557

abc: 7.8567 5.5364 5.7735
angles: 90.00 90.00 90.00
Closest atoms and distances in Å follow each position.
Element x y z (fractional)
Tb: 0.0000 0.2464 0.0000  2 O 2.29, 2 N 2.33-2.49
Tb: 0.0000 0.7536 0.5000  2 O 2.29, 2 N 2.33-2.49
Tb: 0.5000 0.2488 0.1172  4 N 2.27-2.41
Tb: 0.5000 0.7512 0.6172  4 N 2.27-2.41
Nb: 0.2564 0.2658 0.5713  4 N 1.95-2.07, 1 O 2.08
Nb: 0.2564 0.7342 0.0713  4 N 1.95-2.07, 1 O 2.08
Nb: 0.7436 0.2658 0.5713  4 N 1.95-2.07, 1 O 2.08
Nb: 0.7436 0.7342 0.0713  4 N 1.95-2.07, 1 O 2.08
N: 0.0000 0.3400 0.5777  2 Nb 2.06
N: 0.0000 0.6600 0.0777  2 Nb 2.06
N: 0.3007 0.4411 0.8583  2 Nb 1.95-2.07
N: 0.3007 0.5589 0.3583  2 Nb 1.95-2.07
N: 0.5000 0.1442 0.5065  2 Nb 2.06, 1 Tb 2.27
N: 0.5000 0.8558 0.0065  2 Nb 2.06, 1 Tb 2.27
N: 0.6993 0.4411 0.8583  2 Nb 1.95-2.07
N: 0.6993 0.5589 0.3583  2 Nb 1.95-2.07
O: 0.1988 0.0617 0.2294  2 Nb 2.08-2.32, 1 Tb 2.29
O: 0.1988 0.9383 0.7294  2 Nb 2.08-2.32, 1 Tb 2.29
O: 0.8012 0.0617 0.2294  2 Nb 2.08-2.32, 1 Tb 2.29
O: 0.8012 0.9383 0.7294  2 Nb 2.08-2.32, 1 Tb 2.29

***

Record 6
## TbNbN2O (GGA-PBE)

Data for TbNbN2O after structural relaxation.

## Properties
Symmetry: P2_1/c, No. 14
Total energy (eV/atom): -9.053
Crystal system: monoclinic
V (Å³ per atom): 12.567

abc: 7.9299 7.9348 11.0295
angles: 90.00 133.59 90.00
Closest atoms and distances in Å follow each position.
Element x y z (fractional)
Tb: 0.0581 0.2345 0.0299  3 N 2.29-2.39, 1 O 2.31
Tb: 0.0581 0.2655 0.5299  3 N 2.29-2.39, 1 O 2.31
Tb: 0.4395 0.7382 0.4713  1 O 2.28, 3 N 2.30-2.46
Tb: 0.4395 0.7618 0.9713  1 O 2.28, 3 N 2.30-2.46
Tb: 0.5605 0.2382 0.0287  1 O 2.28, 3 N 2.30-2.46
Tb: 0.5605 0.2618 0.5287  1 O 2.28, 3 N 2.30-2.46
Tb: 0.9419 0.7345 0.4701  3 N 2.29-2.39, 1 O 2.31
Tb: 0.9419 0.7655 0.9701  3 N 2.29-2.39, 1 O 2.31
Nb: 0.0203 0.0100 0.2670  4 N 1.96-2.18, 2 O 2.17-2.18
Nb: 0.0203 0.4900 0.7670  4 N 1.96-2.18, 2 O 2.17-2.18
Nb: 0.4841 0.0010 0.7272  4 N 1.98-2.15, 1 O 2.18
Nb: 0.4841 0.4990 0.2272  4 N 1.98-2.15, 1 O 2.18
Nb: 0.5159 0.5010 0.7728  4 N 1.98-2.15, 1 O 2.18
Nb: 0.5159 0.9990 0.2728  4 N 1.98-2.15, 1 O 2.18
Nb: 0.9797 0.5100 0.2330  4 N 1.96-2.18, 2 O 2.17-2.18
Nb: 0.9797 0.9900 0.7330  4 N 1.96-2.18, 2 O 2.17-2.18
N: 0.0323 0.7462 0.2167  2 Nb 1.96-2.18
N: 0.0323 0.7538 0.7167  2 Nb 1.96-2.18
N: 0.1856 0.5599 0.0007  2 Nb 1.98-2.00
N: 0.1856 0.9401 0.5007  2 Nb 1.98-2.00
N: 0.3081 0.0491 0.3090  2 Nb 1.99-2.02
N: 0.3081 0.4509 0.8090  2 Nb 1.99-2.02
N: 0.4638 0.2474 0.6833  2 Nb 1.99-2.15
N: 0.4638 0.2526 0.1833  2 Nb 1.99-2.15
N: 0.5362 0.7474 0.8167  2 Nb 1.99-2.15
N: 0.5362 0.7526 0.3167  2 Nb 1.99-2.15
N: 0.6919 0.5491 0.1910  2 Nb 1.99-2.02
N: 0.6919 0.9509 0.6910  2 Nb 1.99-2.02
N: 0.8144 0.0599 0.4993  2 Nb 1.98-2.00
N: 0.8144 0.4401 0.9993  2 Nb 1.98-2.00
N: 0.9677 0.2462 0.2833  2 Nb 1.96-2.18
N: 0.9677 0.2538 0.7833  2 Nb 1.96-2.18
O: 0.1893 0.5453 0.4987  2 Nb 2.17-2.27, 1 Tb 2.31
O: 0.1893 0.9547 0.9987  2 Nb 2.17-2.27, 1 Tb 2.31
O: 0.3169 0.0489 0.8188  2 Nb 2.18, 1 Tb 2.28
O: 0.3169 0.4511 0.3188  2 Nb 2.18, 1 Tb 2.28
O: 0.6831 0.5489 0.6812  2 Nb 2.18, 1 Tb 2.28
O: 0.6831 0.9511 0.1812  2 Nb 2.18, 1 Tb 2.28
O: 0.8107 0.0453 0.0013  2 Nb 2.17-2.27, 1 Tb 2.31
O: 0.8107 0.4547 0.5013  2 Nb 2.17-2.27, 1 Tb 2.31

***

Record 7
## TbNbNO (GGA-PBE)

Data for TbNbNO after structural relaxation.

## Properties
Symmetry: Pmc2_1, No. 26
Total energy (eV/atom): -8.471
Crystal system: orthorhombic
V (Å³ per atom): 15.613

abc: 3.3187 6.1352 6.1345
angles: 90.00 90.00 90.00
Closest atoms and distances in Å follow each position.
Element x y z (fractional)
Tb: 0.0000 0.1780 0.0000  2 O 2.19-2.23, 2 N 2.34
Tb: 0.0000 0.8220 0.5000  2 O 2.19-2.23, 2 N 2.34
Nb: 0.5000 0.3386 0.5186  2 N 1.95-2.02
Nb: 0.5000 0.6614 0.0186  2 N 1.95-2.02
N: 0.5000 0.3883 0.8332  2 Nb 1.95-2.02
N: 0.5000 0.6117 0.3332  2 Nb 1.95-2.02
O: 0.0000 0.1562 0.3566  2 Tb 2.19-2.23, 2 Nb 2.23
O: 0.0000 0.8438 0.8566  2 Tb 2.19-2.23, 2 Nb 2.23

***

Record 8
## TbNbN2O (GGA-PBE)

Data for TbNbN2O after structural relaxation.

## Properties
Symmetry: Pmc2_1, No. 26
Total energy (eV/atom): -9.055
Crystal system: orthorhombic
V (Å³ per atom): 13.151

abc: 3.6513 6.2275 5.7838
angles: 90.00 90.00 90.00
Closest atoms and distances in Å follow each position.
Element x y z (fractional)
Tb: 0.0000 0.1524 0.0000  4 N 2.33-2.46, 2 O 2.46
Tb: 0.0000 0.8476 0.5000  4 N 2.33-2.46, 2 O 2.46
Nb: 0.5000 0.3240 0.5425  4 N 1.91-2.12, 1 O 2.09
Nb: 0.5000 0.6760 0.0425  4 N 1.91-2.12, 1 O 2.09
N: 0.0000 0.2106 0.6021  2 Nb 1.99
N: 0.0000 0.7894 0.1021  2 Nb 1.99
N: 0.5000 0.4001 0.8991  2 Nb 1.91-2.12
N: 0.5000 0.5999 0.3991  2 Nb 1.91-2.12
O: 0.5000 0.0963 0.2774  1 Nb 2.09
O: 0.5000 0.9037 0.7774  1 Nb 2.09